(1)
The following is a DFT calculation (GGA-PBE) of LaTmBi after structural relaxation.

Structure (CIF):
```
data_LaTmBi
_cell_length_a 4.0996
_cell_length_b 4.0996
_cell_length_c 11.3959
_cell_angle_alpha 90.00
_cell_angle_beta 90.00
_cell_angle_gamma 90.00
_symmetry_space_group_name_H-M 'I 4 m m'
_symmetry_Int_Tables_number 107
_symmetry_space_group_name_Hall 'I 4 -2'
loop_
_atom_site_label
_atom_site_type_symbol
_atom_site_fract_x
_atom_site_fract_y
_atom_site_fract_z
La1 La 0.0000 0.0000 0.0000
Tm1 Tm 0.0000 0.0000 0.6966
Bi1 Bi 0.0000 0.0000 0.3277
```


(2)
The following is a DFT calculation (GGA-PBE) of La3TmBi4 after structural relaxation.

Structure (CIF):
```
data_La3TmBi4
_cell_length_a 8.0290
_cell_length_b 9.2951
_cell_length_c 8.0415
_cell_angle_alpha 90.00
_cell_angle_beta 109.50
_cell_angle_gamma 90.00
_symmetry_space_group_name_H-M 'P 1 2/c 1'
_symmetry_Int_Tables_number 13
loop_
_symmetry_equiv_pos_as_xyz
'x,y,z'
'-x,-y,-z'
'-x,y,-z+1/2'
'x,-y,z+1/2'
loop_
_atom_site_label
_atom_site_type_symbol
_atom_site_fract_x
_atom_site_fract_y
_atom_site_fract_z
La1 La 0.0000 0.1243 0.2500
La2 La 0.0000 0.3730 0.7500
La3 La 0.5000 0.3734 0.2500
Tm1 Tm 0.5000 0.1245 0.7500
Bi1 Bi 0.2549 0.3698 0.5055
Bi2 Bi 0.2611 0.1189 0.9997
```


no.,DFT total energy (eV per atom),energy of formation (eV/atom),total moment (Bohr magnetons per cell)
1,-4.90,-0.48,2.026
2,-5.32,-0.98,0.000